Material: CaNiO2
Method: DFT, GGA+U
State: optimized geometry

## Properties
Electronic total energy   -4.612 eV/atom
ρ   3.8 g/cm3
Density of states at the Fermi level   3.02 states/eV/f.u.
Symmetry   R-3m, No. 166

Cell: 6.482 6.482 6.482 Å, 29.31 29.31 29.31°
Element x y z (fractional)
Ni (0.500, 0.500, 0.500)
O (0.112, 0.112, 0.112)
O (0.888, 0.888, 0.888)
Ca (0.000, 0.000, 0.000)